(1)
# Ca2TaIr | the Alexandria database | PBE-GGA | relaxed
data_Ca2TaIr
_space_group_name_H-M_alt 'I 4/m m m'
_space_group_IT_number 139
_space_group_name_Hall '-I 4 2'
_cell_length_a 3.9994
_cell_length_b 3.9994
_cell_length_c 10.3329
_cell_angle_alpha 90.00
_cell_angle_beta 90.00
_cell_angle_gamma 90.00
loop_
_atom_site_label
_atom_site_type_symbol
_atom_site_fract_x
_atom_site_fract_y
_atom_site_fract_z
Ca1 Ca 0.0000 0.5000 0.2500
Ta1 Ta 0.0000 0.0000 0.0000
Ir1 Ir 0.0000 0.0000 0.5000
# **Total magnetization**: 0.000 Bohr magnetons per cell
# **Formation energy from the elements**: 0.34 eV/atom
# **ρ**: 9.11 g cm⁻³
# **DOS at the Fermi energy**: 7.7 states/eV/cell
# **Calculated total energy**: -46.75 eV/cell

***

(2)
# CsZn2SbI8 | the Alexandria database | PBE-GGA | relaxed
data_CsZn2SbI8
_space_group_name_H-M_alt 'R -3'
_space_group_IT_number 148
_space_group_name_Hall '-R 3'
_cell_length_a 7.4361
_cell_length_b 7.4361
_cell_length_c 33.8908
_cell_angle_alpha 90.00
_cell_angle_beta 90.00
_cell_angle_gamma 120.00
loop_
_atom_site_label
_atom_site_type_symbol
_atom_site_fract_x
_atom_site_fract_y
_atom_site_fract_z
Cs1 Cs 0.0000 0.0000 0.0000
Zn1 Zn 0.0000 0.0000 0.2449
Sb1 Sb 0.0000 0.0000 0.5000
I1 I 0.0000 0.0000 0.3207
I2 I 0.0054 0.6778 0.1134
# **Total magnetization**: 0.000 Bohr magnetons per cell
# **Energy relative to the elements, uncorrected**: -0.635 eV/atom
# **ρ**: 4.30 g cm⁻³
# **DOS at the Fermi energy**: 0.0 states/eV/cell
# **Calculated total energy**: -82.63 eV/cell

***

Q: Which of these has the highest ρ?
A: Ca2TaIr